Below is an optimized crystal structure of Sr2MgCdAu, with properties calculated at the PBE-GGA level. Values from VASP.

## Properties
* ΔH_f (0 K): -1.50 eV per formula unit
* size of the total moment: 0.00 μB/f.u.
* calculated total energy: -10.7 eV per cell

```
&SYSTEM
  ibrav = 0, nat = 5, ntyp = 4
/
ATOMIC_SPECIES
Sr 87.62 Sr.upf
Cd 112.41 Cd.upf
Au 196.97 Au.upf
Mg 24.30 Mg.upf
ATOMIC_POSITIONS crystal
Sr 0.500 0.000 0.000
Sr 0.000 0.500 0.000
Cd 0.500 0.500 0.500
Au 0.000 0.000 0.000
Mg 0.000 0.000 0.500
CELL_PARAMETERS angstrom
6.048 0.000 0.000
0.000 6.048 0.000
0.000 0.000 5.120
```